This record from Alexandria describes a geometry-optimized FeTcPb2 structure. The functional is PBE.

Lattice parameters (Å, degrees): 4.069 4.069 9.486 90.00 90.00 90.00
Space group I-4m2 (No. 119)
Unique sites:
Fe (0.000, 0.000, 0.000)
Tc (0.000, 0.500, 0.250)
Pb (0.000, 0.000, 0.500)
Pb (0.000, 0.500, 0.750)

Energy of formation (meV/atom): 793
E (eV per atom): -5.768
Calculated volume (Å³/cell): 157.0
Theoretical density (g cm⁻³): 12.017
Crystal system: tetragonal
Energy relative to the lowest polymorph listed for this composition (meV per atom): 445